1.
The following is a PBE calculation of an optimized crystal structure of CsPO3, from Alexandria via LeMat-Bulk.

```
20
Lattice="-2.7001 -2.1822 -2.7259 5.4792 -2.6738 -3.2868 4.5024 -12.2145 5.3183" Properties=species:S:1:pos:R:3 pbc="T T T"
P 7.0644 -13.4180 0.1107
O 0.9069 -4.0680 0.6201
O 6.3280 -12.6185 1.1472
Cs 3.8240 -3.2240 -2.1091
O 2.9402 -7.8011 2.3118
Cs 1.8747 -7.1991 -0.5698
P 3.5083 -8.3654 -3.8658
Cs 3.4576 -13.8464 1.4147
O 4.1603 -6.8655 -3.9366
O 3.1213 -10.2049 3.2421
O 6.3747 -13.0025 -1.3145
P 0.2172 -3.6524 -0.8051
O 7.1712 -14.9089 0.2372
Cs 5.4069 -9.8714 -0.1246
O 2.5252 -11.1084 0.1315
P 3.7732 -8.7051 3.1714
O 0.1103 -2.1615 -0.9317
O 4.7564 -5.9621 -0.8259
O 4.3413 -9.2694 -3.0062
O 0.9535 -4.4520 -1.8416
```

Computed properties:
- Crystal system: monoclinic
- Calculated density: 3587 kg/m3
- Symmetry: No. 14
- Total magnetic moment: 0.00 μB/cell
- E: -6.493 eV/atom

***

2.
The following is a PBE calculation of an optimized crystal structure of YC3, from Alexandria via LeMat-Bulk.

```
4
Lattice="4.0673 0.0228 0.0409 -1.3794 3.8263 0.0409 -1.3794 -1.9754 3.2772" Properties=species:S:1:pos:R:3 pbc="T T T"
C 0.0000 0.0000 0.0000
C 1.3439 -0.9763 1.6591
C 1.3439 1.9246 0.0409
Y -1.3794 0.9254 1.6591
```

Computed properties:
- Crystal system: cubic
- ΔE to the lowest computed polymorph: 2.163 eV/atom
- Calculated density: 4008 kg/m3
- Symmetry: No. 229
- Total magnetic moment: 0.00 μB/cell
- E: -6.108 eV/atom
- Energy relative to the elements: 2.43 eV/atom

***

3.
The following is a PBE calculation of an optimized crystal structure of InNiRh2, from Alexandria via LeMat-Bulk.

```
4
Lattice="-2.5429 -2.7173 0.2249 1.7959 -1.5477 1.6071 -0.3099 0.8075 6.2520" Properties=species:S:1:pos:R:3 pbc="T T T"
Rh -0.8624 -1.5857 1.9949
Rh -0.2845 0.7792 6.1974
In 0.7309 -0.3568 3.9534
Ni -0.2079 -1.8567 6.1200
```

Computed properties:
- Crystal system: monoclinic
- Calculated density: 10500 kg/m3
- Symmetry: No. 6
- Total magnetic moment: 0.01 μB/cell
- E: -5.853 eV/atom
- Energy relative to the elements: -0.05 eV/atom

***

4.
The following is a PBE calculation of an optimized crystal structure of LaTl2F, from Alexandria via LeMat-Bulk.

```
4
Lattice="-0.3533 -4.9180 2.0131 2.0049 -1.0548 4.8199 -3.2699 -0.9750 4.0892" Properties=species:S:1:pos:R:3 pbc="T T T"
F 0.0000 0.0000 0.0000
Tl -1.2137 -5.2109 8.1916
La -0.8091 -3.4739 5.4611
Tl -0.4046 -1.7370 2.7305
```

Computed properties:
- Crystal system: cubic
- ΔE to the lowest computed polymorph: 0.545 eV/atom
- Calculated density: 8809 kg/m3
- Symmetry: No. 225
- Total magnetic moment: 0.00 μB/cell
- E: -3.497 eV/atom

***

5.
The following is a PBE calculation of an optimized crystal structure of Dy2ErPu3Te6, from Alexandria via LeMat-Bulk.

```
12
Lattice="-0.5710 -2.0158 3.8244 8.6451 0.6375 1.6267 -3.4201 9.0590 1.7782" Properties=species:S:1:pos:R:3 pbc="T T T"
Pu 5.9655 3.2255 2.5907
Te 5.4166 5.9852 3.9634
Te 2.5444 7.5086 6.8236
Te 1.1628 5.6182 3.1349
Te -0.7626 1.6955 3.2659
Te 3.4912 2.0625 4.0944
Te 2.1097 0.1721 0.4057
Pu 4.0371 -0.6891 2.7256
Pu -1.3115 4.4552 4.6386
Dy 1.6505 2.9013 1.7757
Er -0.2855 -1.0079 1.9122
Dy 3.0036 4.7794 5.4537
```

Computed properties:
- Crystal system: monoclinic
- Calculated density: 9234 kg/m3
- Symmetry: No. 12
- Total magnetic moment: 18.01 μB/cell
- E: -7.505 eV/atom

***

6.
The following is a PBE calculation of an optimized crystal structure of Cs2AgTeBr6, from Alexandria via LeMat-Bulk.

```
10
Lattice="8.0063 0.0000 0.0000 0.0000 8.0063 0.0000 4.0032 4.0032 5.7352" Properties=species:S:1:pos:R:3 pbc="T T T"
Ag 4.0032 4.0032 0.0000
Cs 4.0032 8.0063 2.8676
Br 8.0063 8.0063 2.7849
Br 2.0512 5.9551 0.0000
Br 5.9551 2.0512 0.0000
Te 0.0000 0.0000 0.0000
Br 5.9551 5.9551 0.0000
Br 2.0512 2.0512 0.0000
Br 4.0032 4.0032 2.9503
Cs 8.0063 4.0032 2.8676
```

Computed properties:
- Crystal system: tetragonal
- Calculated density: 4430 kg/m3
- Symmetry: No. 139
- Total magnetic moment: 0.00 μB/cell
- E: -2.697 eV/atom

***

7.
The following is a PBE calculation of an optimized crystal structure of Ca4CrHg, from Alexandria via LeMat-Bulk.

```
6
Lattice="-3.8404 -5.0594 1.9452 -1.6317 -0.6598 6.4056 -6.2414 1.1345 1.9716" Properties=species:S:1:pos:R:3 pbc="T T T"
Ca -7.5116 -1.1532 4.8570
Ca -4.3940 -1.7198 3.8722
Cr -8.7851 -3.4385 7.7418
Ca -6.3123 -4.2470 4.8438
Ca -5.2091 -2.0494 7.0718
Hg 0.0000 0.0000 0.0000
```

Computed properties:
- Crystal system: cubic
- Calculated density: 3308 kg/m3
- Symmetry: No. 216
- Total magnetic moment: 4.78 μB/cell
- E: -2.411 eV/atom
- Energy relative to the elements: 0.58 eV/atom

***

8.
The following is a PBE calculation of an optimized crystal structure of AlAs2Rh, from Alexandria via LeMat-Bulk.

```
4
Lattice="4.2603 -0.0415 -0.5872 3.2595 2.7437 -0.5872 0.2605 0.0936 6.4769" Properties=species:S:1:pos:R:3 pbc="T T T"
As 6.9499 2.4974 -0.4764
As 6.4026 2.3007 3.2173
Al 1.7482 0.6282 1.5814
Rh 4.0897 1.4696 2.4570
```

Computed properties:
- Crystal system: monoclinic
- Calculated density: 6027 kg/m3
- Symmetry: No. 8
- Total magnetic moment: 0.00 μB/cell
- E: -5.342 eV/atom
- Energy relative to the elements: -0.24 eV/atom

***

9.
The following is a PBE calculation of an optimized crystal structure of SmAl4Ge, from Alexandria via LeMat-Bulk.

```
6
Lattice="-1.0665 5.4128 -0.3268 -2.7337 2.0196 -4.3579 -5.1782 1.8370 0.5953" Properties=species:S:1:pos:R:3 pbc="T T T"
Al -3.0183 4.8756 -2.8558
Al -5.6146 5.7966 -2.5573
Al -4.2440 4.7840 -0.3723
Al -5.0799 3.0827 -2.3935
Ge 0.0000 0.0000 0.0000
Sm -2.2446 2.3174 -1.0224
```

Computed properties:
- Crystal system: cubic
- Calculated density: 4604 kg/m3
- Symmetry: No. 216
- Total magnetic moment: 0.00 μB/cell
- E: -4.195 eV/atom
- Energy relative to the elements: -0.14 eV/atom